This record from Alexandria via LeMat-Bulk describes a relaxed structure of Tb7InRu2. The functional is GGA-PBE.

Results
- ΔH_f (0 K) (eV per atom) = -0.11
- crystal system = orthorhombic
- V (Å³/atom) = 31.7
- symmetry = Cmmm (65)
- M_tot (μB per formula unit) = 0.0
- density of states at the Fermi level (states/eV/f.u.) = 8.04
- raw total energy (eV/atom) = -5.481

Geometry as POSCAR:
```
Tb7InRu2
1.0
5.230 0.000 0.000
0.000 8.132 0.179
0.000 -3.427 7.376
Tb Ru In
7 2 1
direct
0.500 0.500 0.500
0.500 0.316 0.054
0.500 0.684 0.946
0.000 0.721 0.279
0.500 0.946 0.684
0.000 0.279 0.721
0.500 0.054 0.316
0.500 0.301 0.699
0.500 0.699 0.301
0.000 0.000 0.000
```